Entry from Alexandria via LeMat-Bulk: a geometry-optimized NbVHF2 structure (PBE+U).

Lattice parameters (Å, degrees): 4.338 4.338 3.678 90.00 90.00 90.00
Space group P4/mmm (No. 123)
Symmetry-distinct sites (fractional):
Nb 0.000 0.000 0.000 (multiplicity 1)
V 0.500 0.500 0.500 (multiplicity 1)
H 0.000 0.000 0.500 (multiplicity 1)
F 0.000 0.500 0.000 (multiplicity 2)

Computed properties:
**D(E_F)**: 4.08 states/eV per cell
**Total DFT energy (no corrections)**: -5.438 eV/atom